Tb6In3Te | Alexandria | GGA-PBE | relaxed; SG = Cmc2_1; theoretical density = 7.80 Mg/m³; V = 607.2 Å³/cell; electronic total energy = -4.308 eV/atom
1.0
6.376 -6.664 0.000
6.376 6.664 0.000
0.000 0.000 7.145
Tb In Te
12 6 2
Direct
0.011 0.989 0.500
0.162 0.317 0.798
0.207 0.540 0.421
0.308 0.692 0.891
0.317 0.162 0.298
0.460 0.793 0.421
0.540 0.207 0.921
0.683 0.838 0.798
0.692 0.308 0.391
0.793 0.460 0.921
0.838 0.683 0.298
0.989 0.011 0.000
0.013 0.309 0.229
0.309 0.013 0.729
0.497 0.503 0.158
0.503 0.497 0.658
0.691 0.987 0.229
0.987 0.691 0.729
0.173 0.827 0.222
0.827 0.173 0.722

---

La3PrY6Tm2 | Alexandria | GGA-PBE | relaxed; SG = C2/m; theoretical density = 5.95 Mg/m³; V = 398.7 Å³/cell; formation energy = 0.020 eV per atom; electronic total energy = -5.587 eV/atom
1.0
3.130 -5.421 0.000
3.130 5.421 0.000
-2.084 0.000 11.750
La Pr Y Tm
3 1 6 2
Direct
0.000 0.000 0.000
0.333 0.667 0.000
0.667 0.333 0.000
0.500 0.500 0.500
0.084 0.418 0.255
0.247 0.247 0.746
0.418 0.084 0.255
0.582 0.916 0.745
0.753 0.753 0.254
0.916 0.582 0.745
0.167 0.833 0.500
0.833 0.167 0.500

---

Ce2CdCu2Pd5 | Alexandria | GGA-PBE | relaxed; SG = P4/mbm; theoretical density = 9.66 Mg/m³; V = 361.8 Å³/cell; formation energy = -0.541 eV per atom; electronic total energy = -5.235 eV/atom
1.0
9.562 0.000 0.000
0.000 9.562 0.000
0.000 0.000 3.957
Ce Cd Cu Pd
4 2 4 10
Direct
0.177 0.323 0.000
0.323 0.823 0.000
0.677 0.177 0.000
0.823 0.677 0.000
0.000 0.000 0.000
0.500 0.500 0.000
0.119 0.619 0.000
0.381 0.119 0.000
0.619 0.881 0.000
0.881 0.381 0.000
0.000 0.500 0.500
0.070 0.792 0.500
0.208 0.070 0.500
0.292 0.570 0.500
0.430 0.292 0.500
0.500 0.000 0.500
0.570 0.708 0.500
0.708 0.430 0.500
0.792 0.930 0.500
0.930 0.208 0.500

---

LiMgV | Alexandria | GGA-PBE | relaxed; distance to the lowest polymorph of the same formula = 31.5 kJ per mole of atoms; SG = P-6m2; theoretical density = 2.38 Mg/m³; V = 114.8 Å³/cell; formation energy = 0.544 eV per atom; electronic total energy = -3.665 eV/atom
1.0
4.882 0.000 0.000
-2.441 4.228 0.000
0.000 0.000 5.565
Li Mg V
2 2 2
Direct
0.000 0.000 0.000
0.000 0.000 0.500
0.667 0.333 0.245
0.667 0.333 0.755
0.333 0.667 0.166
0.333 0.667 0.834

---

> Number 2 is which compound?

La3PrY6Tm2